Entry from the Alexandria database: a geometry-optimized Pm4Au structure (PBE).

Cell lengths 5.7157, 5.7157, 5.7157 Å; angles 90.00, 90.00, 90.00 degrees
Fractional coordinates of all 5 atoms:
Au 0.5000 0.5000 0.5000
Pm 0.0000 0.0000 0.0000
Pm 0.5000 0.0000 0.5000
Pm 0.0000 0.5000 0.5000
Pm 0.5000 0.5000 0.0000

Results
- DOS at the Fermi energy (states/eV/cell) = 8.98
- spin magnetization (μB per atom) = 0.0000
- final energy (eV for the cell shown) = -22.354
- formation enthalpy at 0 K (eV per atom) = -0.015